The following is a GGA-PBE calculation of YMo2Rh after structural relaxation, from the Alexandria database.

Results
mass density = 9.1 g/cm³
crystal system = cubic
formation energy = 0.050 eV/atom
E = -8.820 eV/atom
distance to the lowest polymorph of the same formula = 84 meV per atom

Lattice parameters (Å, degrees): 6.5494 6.5494 6.5494 90.00 90.00 90.00
With the nearest neighbours (Å) after each atom.
Space group F-43m (No. 216)
Inequivalent atoms, fractional coordinates:
Y: 0.0000 0.0000 0.0000  4 Rh 2.84, 4 Mo 2.84
Mo: 0.0000 0.0000 0.5000  4 Mo 2.84, 4 Rh 2.84
Mo: 0.2500 0.2500 0.7500  4 Mo 2.84, 4 Y 2.84
Rh: 0.2500 0.2500 0.2500  4 Mo 2.84, 4 Y 2.84